The following is a PBE+U calculation of an optimized crystal structure of Ac2TlCoO5, from Alexandria via LeMat-Bulk.

```
data_Ac2TlCoO5
_chemical_formula_sum 'Ac4 Tl2 Co2 O10'
_space_group_name_H-M_alt 'P 1'
_space_group_IT_number 1
_cell_length_a 7.239
_cell_length_b 7.239
_cell_length_c 5.749
_cell_angle_alpha 90.00
_cell_angle_beta 90.00
_cell_angle_gamma 90.00
loop_
_space_group_symop_operation_xyz
'x,y,z'
loop_
_atom_site_label
_atom_site_fract_x
_atom_site_fract_y
_atom_site_fract_z
_atom_site_occupancy
Ac1 0.182 0.318 0.000 1
Ac2 0.318 0.818 0.000 1
Ac3 0.682 0.182 0.000 1
Ac4 0.818 0.682 0.000 1
Tl1 0.000 0.000 0.500 1
Tl2 0.500 0.500 0.500 1
Co1 0.000 0.500 0.500 1
Co2 0.500 0.000 0.500 1
O1 0.000 0.000 0.000 1
O2 0.124 0.624 0.265 1
O3 0.124 0.624 0.735 1
O4 0.376 0.124 0.265 1
O5 0.376 0.124 0.735 1
O6 0.500 0.500 0.000 1
O7 0.624 0.876 0.265 1
O8 0.624 0.876 0.735 1
O9 0.876 0.376 0.265 1
O10 0.876 0.376 0.735 1
```

Calculated values
Energy: -6.667 eV/atom